[1]
Density functional theory data (PBE-GGA) for a relaxed Na8Tl5Cd crystal.

```
data_Na8Tl5Cd
_cell_length_a 9.414
_cell_length_b 9.414
_cell_length_c 9.624
_cell_angle_alpha 90.00
_cell_angle_beta 90.00
_cell_angle_gamma 90.00
_symmetry_space_group_name_H-M 'I -4'
_symmetry_Int_Tables_number 82
_symmetry_space_group_name_Hall 'I -4'
loop_
_atom_site_label
_atom_site_type_symbol
_atom_site_fract_x
_atom_site_fract_y
_atom_site_fract_z
Na1 Na 0.061 0.332 0.424
Na2 Na 0.115 0.197 0.755
Tl1 Tl 0.000 0.000 0.500
Tl2 Tl 0.103 0.182 0.096
Cd1 Cd 0.000 0.500 0.750
```

Computed properties:
calculated formation energy: -0.043 eV/atom
total magnetization: 0.00 μB per cell

***

[2]
Density functional theory data (PBE-GGA) for a relaxed Na7TlCd3 crystal.

```
data_Na7TlCd3
_cell_length_a 3.331
_cell_length_b 31.595
_cell_length_c 12.403
_cell_angle_alpha 90.00
_cell_angle_beta 90.00
_cell_angle_gamma 90.00
_symmetry_space_group_name_H-M 'C m c m'
_symmetry_Int_Tables_number 63
_symmetry_space_group_name_Hall '-C 2c 2'
loop_
_atom_site_label
_atom_site_type_symbol
_atom_site_fract_x
_atom_site_fract_y
_atom_site_fract_z
Na1 Na 0.000 0.028 0.106
Na2 Na 0.000 0.138 0.750
Na3 Na 0.000 0.139 0.034
Na4 Na 0.000 0.269 0.114
Tl1 Tl 0.000 0.401 0.750
Cd1 Cd 0.000 0.306 0.750
Cd2 Cd 0.000 0.436 0.126
```

Computed properties:
calculated formation energy: -0.039 eV/atom
total magnetization: 0.00 μB per cell

***

[3]
Density functional theory data (PBE-GGA) for a relaxed Na2Tl8Cd crystal.

```
data_Na2Tl8Cd
_cell_length_a 5.107
_cell_length_b 5.107
_cell_length_c 12.608
_cell_angle_alpha 90.00
_cell_angle_beta 90.00
_cell_angle_gamma 90.00
_symmetry_space_group_name_H-M 'P 4/m m m'
_symmetry_Int_Tables_number 123
_symmetry_space_group_name_Hall '-P 4 2'
loop_
_atom_site_label
_atom_site_type_symbol
_atom_site_fract_x
_atom_site_fract_y
_atom_site_fract_z
Na1 Na 0.000 0.000 0.180
Tl1 Tl 0.000 0.500 0.000
Tl2 Tl 0.000 0.500 0.360
Tl3 Tl 0.500 0.500 0.179
Cd1 Cd 0.000 0.000 0.500
```

Computed properties:
calculated formation energy: -0.035 eV/atom
total magnetization: 0.00 μB per cell

***

[4]
Density functional theory data (PBE-GGA) for a relaxed Na5Tl2Cd4 crystal.

```
data_Na5Tl2Cd4
_cell_length_a 22.832
_cell_length_b 3.368
_cell_length_c 8.540
_cell_angle_alpha 90.00
_cell_angle_beta 91.23
_cell_angle_gamma 90.00
_symmetry_space_group_name_H-M 'C 1 2/m 1'
_symmetry_Int_Tables_number 12
_symmetry_space_group_name_Hall '-C 2y'
loop_
_atom_site_label
_atom_site_type_symbol
_atom_site_fract_x
_atom_site_fract_y
_atom_site_fract_z
Na1 Na 0.000 0.000 0.000
Na2 Na 0.128 0.500 0.568
Na3 Na 0.175 0.500 0.979
Tl1 Tl 0.238 0.000 0.324
Cd1 Cd 0.003 0.500 0.330
Cd2 Cd 0.108 0.000 0.240
```

Computed properties:
calculated formation energy: -0.019 eV/atom
total magnetization: 0.00 μB per cell

***

[5]
Density functional theory data (PBE-GGA) for a relaxed Na4Tl2Cd5 crystal.

```
data_Na4Tl2Cd5
_cell_length_a 15.827
_cell_length_b 5.989
_cell_length_c 6.651
_cell_angle_alpha 90.00
_cell_angle_beta 108.82
_cell_angle_gamma 90.00
_symmetry_space_group_name_H-M 'C 1 2/m 1'
_symmetry_Int_Tables_number 12
_symmetry_space_group_name_Hall '-C 2y'
loop_
_atom_site_label
_atom_site_type_symbol
_atom_site_fract_x
_atom_site_fract_y
_atom_site_fract_z
Na1 Na 0.107 0.000 0.466
Na2 Na 0.240 0.500 0.830
Tl1 Tl 0.171 0.500 0.321
Cd1 Cd 0.000 0.500 0.500
Cd2 Cd 0.071 0.242 0.899
```

Computed properties:
calculated formation energy: -0.090 eV/atom
total magnetization: 0.00 μB per cell

***

[6]
Density functional theory data (PBE-GGA) for a relaxed Na4Tl2Cd crystal.

```
data_Na4Tl2Cd
_cell_length_a 5.4351
_cell_length_b 5.4351
_cell_length_c 23.5413
_cell_angle_alpha 90.00
_cell_angle_beta 90.00
_cell_angle_gamma 120.00
_symmetry_space_group_name_H-M 'R -3 m'
_symmetry_Int_Tables_number 166
_symmetry_space_group_name_Hall '-R 3 2"'
loop_
_atom_site_label
_atom_site_type_symbol
_atom_site_fract_x
_atom_site_fract_y
_atom_site_fract_z
Na1 Na 0.0000 0.0000 0.0838
Na2 Na 0.0000 0.0000 0.3630
Tl1 Tl 0.0000 0.0000 0.2195
Cd1 Cd 0.0000 0.0000 0.5000
```

Computed properties:
calculated formation energy: -0.063 eV/atom
total magnetization: 0.00 μB per cell

***

[7]
Density functional theory data (PBE-GGA) for a relaxed Na5Tl5Cd2 crystal.

```
data_Na5Tl5Cd2
_cell_length_a 13.788
_cell_length_b 4.887
_cell_length_c 10.875
_cell_angle_alpha 90.00
_cell_angle_beta 115.46
_cell_angle_gamma 90.00
_symmetry_space_group_name_H-M 'C 1 2/m 1'
_symmetry_Int_Tables_number 12
_symmetry_space_group_name_Hall '-C 2y'
loop_
_atom_site_label
_atom_site_type_symbol
_atom_site_fract_x
_atom_site_fract_y
_atom_site_fract_z
Na1 Na 0.000 0.000 0.000
Na2 Na 0.088 0.000 0.752
Na3 Na 0.163 0.000 0.498
Tl1 Tl 0.000 0.500 0.500
Tl2 Tl 0.161 0.500 0.995
Tl3 Tl 0.240 0.000 0.249
Cd1 Cd 0.084 0.500 0.251
```

Computed properties:
calculated formation energy: -0.096 eV/atom
total magnetization: 0.00 μB per cell

***

[8]
Density functional theory data (PBE-GGA) for a relaxed Na8Tl3Cd3 crystal.

```
data_Na8Tl3Cd3
_cell_length_a 4.966
_cell_length_b 12.557
_cell_length_c 13.137
_cell_angle_alpha 90.00
_cell_angle_beta 90.00
_cell_angle_gamma 90.00
_symmetry_space_group_name_H-M 'I m m m'
_symmetry_Int_Tables_number 71
_symmetry_space_group_name_Hall '-I 2 2'
loop_
_atom_site_label
_atom_site_type_symbol
_atom_site_fract_x
_atom_site_fract_y
_atom_site_fract_z
Na1 Na 0.000 0.125 0.122
Na2 Na 0.000 0.206 0.360
Tl1 Tl 0.000 0.500 0.224
Tl2 Tl 0.000 0.500 0.500
Cd1 Cd 0.000 0.000 0.500
Cd2 Cd 0.000 0.362 0.000
```

Computed properties:
calculated formation energy: -0.024 eV/atom
total magnetization: 0.00 μB per cell